Entry 1:
This record from the Alexandria database describes an optimized crystal structure of ErAs2Pd4. The functional is PBE-GGA.

The structure in POSCAR format:
```
ErAs2Pd4
1.0
-3.9772 1.7315 -0.4806
-1.4746 -2.5010 3.1927
2.2613 5.9734 2.8072
Er As Pd
1 2 4
direct
0.0000 0.0000 0.0000
0.5000 0.5925 0.1851
0.5000 0.4075 0.8149
0.5000 0.8221 0.6443
0.0000 0.6750 0.3501
0.5000 0.1779 0.3557
0.0000 0.3250 0.6499
```

- density of states at the Fermi level (states/eV/f.u.) = 2.69
- polymorph energy (0 for the lowest one) (eV per atom) = 0.072
- total moment (μB/f.u.) = 0.0
- ΔE_f (eV/atom) = -0.632
- raw total energy (eV per atom) = -5.579



Entry 2:
This record from the Alexandria database describes an optimized crystal structure of Tb2SmNpP4. The functional is PBE-GGA.

The structure in POSCAR format:
```
Tb2SmNpP4
1.0
4.0218 0.0000 0.0000
0.0000 6.9763 0.1302
0.0000 -2.4298 6.5319
Tb Sm Np P
2 1 1 4
direct
0.5000 0.0000 0.5000
0.0000 0.5000 0.5000
0.5000 0.5000 0.0000
0.0000 0.0000 0.0000
0.5000 0.2431 0.2465
0.5000 0.7569 0.7535
0.0000 0.2427 0.7506
0.0000 0.7573 0.2494
```

- density of states at the Fermi level (states/eV/f.u.) = 10.56
- total moment (μB/f.u.) = 3.6
- ΔE_f (eV/atom) = -1.406
- raw total energy (eV per atom) = -7.476



Entry 3:
This record from the Alexandria database describes an optimized crystal structure of KZnBiSe3. The functional is PBE-GGA.

The structure in POSCAR format:
```
KZnBiSe3
1.0
-0.0363 4.0470 -1.1137
-2.8311 2.3696 8.7028
9.7668 0.1836 0.3490
K Zn Bi Se
2 2 2 6
direct
0.2500 0.1880 0.2298
0.7500 0.8120 0.7702
0.2500 0.0844 0.6041
0.7500 0.9156 0.3959
0.2500 0.6614 0.1372
0.7500 0.3386 0.8628
0.7500 0.8801 0.1363
0.2500 0.1199 0.8637
0.2500 0.8101 0.4803
0.7500 0.1899 0.5197
0.7500 0.4409 0.1573
0.2500 0.5591 0.8427
```

- formation energy without anion corrections (eV per atom) = -0.755
- density of states at the Fermi level (states/eV/f.u.) = 0.00
- total moment (μB/f.u.) = 0.0
- raw total energy (eV per atom) = -3.539



Entry 4:
This record from the Alexandria database describes an optimized crystal structure of KBiPbI6. The functional is PBE-GGA.

The structure in POSCAR format:
```
KBiPbI6
1.0
8.1506 0.0000 0.0000
-4.0753 7.0586 0.0000
0.0000 0.0000 15.6033
K Bi Pb I
2 2 2 12
direct
0.0000 0.0000 0.0000
0.0000 0.0000 0.5000
0.6667 0.3333 0.2500
0.3333 0.6667 0.7500
0.3333 0.6667 0.2500
0.6667 0.3333 0.7500
0.6403 0.6272 0.1315
0.9869 0.3597 0.1315
0.3597 0.9869 0.6315
0.0131 0.6403 0.8685
0.3728 0.3597 0.3685
0.9869 0.6272 0.3685
0.6272 0.9869 0.8685
0.6403 0.0131 0.3685
0.0131 0.3728 0.6315
0.3728 0.0131 0.1315
0.6272 0.6403 0.6315
0.3597 0.3728 0.8685
```

- formation energy without anion corrections (eV per atom) = -0.743
- density of states at the Fermi level (states/eV/f.u.) = 0.00
- total moment (μB/f.u.) = 0.0
- raw total energy (eV per atom) = -2.741



Entry 5:
This record from the Alexandria database describes an optimized crystal structure of Pm2MgS. The functional is PBE-GGA.

The structure in POSCAR format:
```
Pm2MgS
1.0
3.9386 0.0000 0.0000
1.9693 3.4109 0.0000
1.9693 1.1370 8.3119
S Mg Pm
1 1 2
direct
0.0000 0.0000 0.0000
0.5000 0.5000 0.5000
0.2676 0.2676 0.1972
0.7324 0.7324 0.8028
```

- formation energy without anion corrections (eV per atom) = -0.971
- density of states at the Fermi level (states/eV/f.u.) = 2.66
- polymorph energy (0 for the lowest one) (eV per atom) = 0.000
- total moment (μB/f.u.) = 0.0
- raw total energy (eV per atom) = -4.777



Entry 6:
This record from the Alexandria database describes an optimized crystal structure of AcZrSO2. The functional is PBE-GGA.

The structure in POSCAR format:
```
AcZrSO2
1.0
-3.2800 -1.5183 -4.8682
5.0253 -1.9461 -2.7789
-1.6333 -3.1285 5.8520
Ac Zr S O
2 2 2 4
direct
0.8313 0.3313 0.6626
0.3313 0.8313 0.6626
0.9925 0.9925 0.9851
0.4925 0.4925 0.9851
0.7359 0.7359 0.4719
0.2359 0.2359 0.4719
0.2202 0.7202 0.9405
0.7202 0.7202 0.9405
0.7202 0.2202 0.9405
0.2202 0.2202 0.9405
```

- formation energy without anion corrections (eV per atom) = -2.672
- density of states at the Fermi level (states/eV/f.u.) = 2.30
- total moment (μB/f.u.) = 0.0
- raw total energy (eV per atom) = -8.012